(1)
Li2Si2P: relaxed, PBE.

The structure in CIF format:
```
data_Li2Si2P
_cell_length_a 6.2367
_cell_length_b 6.2367
_cell_length_c 4.1551
_cell_angle_alpha 90.00
_cell_angle_beta 90.00
_cell_angle_gamma 90.00
_symmetry_space_group_name_H-M 'P 4/m b m'
_symmetry_Int_Tables_number 127
_symmetry_space_group_name_Hall '-P 4 2ab'
loop_
_atom_site_label
_atom_site_fract_x
_atom_site_fract_y
_atom_site_fract_z
_atom_site_occupancy
Li1 0.1661 0.3339 0.0000 1
Si1 0.1313 0.6313 0.5000 1
P1 0.0000 0.0000 0.5000 1
```

## Properties
**DOS(E_F)**: 6.1 states/eV per cell
**Crystal system**: tetragonal
**Total magnetic moment**: 0.000 μB/atom
**Formation energy (no corrections)**: 0.00 eV/atom
**Offset from the most stable computed form**: 0.000 eV per atom

---

(2)
CuBiPdO4: relaxed, PBE.

The structure in CIF format:
```
data_CuBiPdO4
_cell_length_a 6.0840
_cell_length_b 6.5640
_cell_length_c 9.8182
_cell_angle_alpha 90.00
_cell_angle_beta 90.00
_cell_angle_gamma 90.00
_symmetry_space_group_name_H-M 'I m m a'
_symmetry_Int_Tables_number 74
_symmetry_space_group_name_Hall '-I 2b 2'
loop_
_atom_site_label
_atom_site_fract_x
_atom_site_fract_y
_atom_site_fract_z
_atom_site_occupancy
Cu1 0.0000 0.2500 0.1548 1
Bi1 0.0000 0.0000 0.5000 1
Pd1 0.2500 0.2500 0.7500 1
O1 0.0000 0.0371 0.7342 1
O2 0.2455 0.2500 0.4603 1
```

## Properties
**DOS(E_F)**: 16.6 states/eV per cell
**Crystal system**: orthorhombic
**Total magnetic moment**: 0.000 μB/atom
**Formation energy (no corrections)**: -0.57 eV/atom

---

(3)
LiBiPd3: relaxed, PBE.

The structure in CIF format:
```
data_LiBiPd3
_cell_length_a 4.6651
_cell_length_b 5.2341
_cell_length_c 7.5439
_cell_angle_alpha 90.00
_cell_angle_beta 106.75
_cell_angle_gamma 90.00
_symmetry_space_group_name_H-M 'P 1 21/m 1'
_symmetry_Int_Tables_number 11
loop_
_symmetry_equiv_pos_as_xyz
'x,y,z'
'-x,-y,-z'
'-x,y+1/2,-z'
'x,-y+1/2,z'
loop_
_atom_site_label
_atom_site_fract_x
_atom_site_fract_y
_atom_site_fract_z
_atom_site_occupancy
Li1 0.1523 0.2500 0.3166 1
Bi1 0.3448 0.2500 0.7309 1
Pd1 0.0000 0.0000 0.0000 1
Pd2 0.2606 0.7500 0.4892 1
Pd3 0.4452 0.7500 0.8847 1
```

## Properties
**DOS(E_F)**: 4.6 states/eV per cell
**Formation energy from the elements**: -0.28 eV/atom
**Crystal system**: monoclinic
**Total magnetic moment**: 0.000 μB/atom
**Offset from the most stable computed form**: 0.000 eV per atom

---

(4)
NbPb3S6: relaxed, PBE.

The structure in CIF format:
```
data_NbPb3S6
_cell_length_a 6.7899
_cell_length_b 7.4162
_cell_length_c 11.7745
_cell_angle_alpha 90.00
_cell_angle_beta 122.71
_cell_angle_gamma 90.00
_symmetry_space_group_name_H-M 'P 1 21/c 1'
_symmetry_Int_Tables_number 14
loop_
_symmetry_equiv_pos_as_xyz
'x,y,z'
'-x,-y,-z'
'-x,y+1/2,-z+1/2'
'x,-y+1/2,z+1/2'
loop_
_atom_site_label
_atom_site_fract_x
_atom_site_fract_y
_atom_site_fract_z
_atom_site_occupancy
Nb1 0.0000 0.0000 0.0000 1
Pb1 0.2954 0.0715 0.7738 1
Pb2 0.5000 0.0000 0.5000 1
S1 0.1011 0.0591 0.2321 1
S2 0.2383 0.7209 0.0778 1
S3 0.3482 0.1682 0.0451 1
```

## Properties
**DOS(E_F)**: 12.3 states/eV per cell
**Crystal system**: monoclinic
**Total magnetic moment**: 0.000 μB/atom
**Formation energy (no corrections)**: -0.50 eV/atom

---

(5)
Mo3Ir4W: relaxed, PBE.

The structure in CIF format:
```
data_Mo3Ir4W
_cell_length_a 8.9621
_cell_length_b 5.5707
_cell_length_c 4.8270
_cell_angle_alpha 90.00
_cell_angle_beta 90.00
_cell_angle_gamma 90.00
_symmetry_space_group_name_H-M 'P m m a'
_symmetry_Int_Tables_number 51
loop_
_symmetry_equiv_pos_as_xyz
'x,y,z'
'-x,-y,-z'
'-x+1/2,-y,z'
'x+1/2,y,-z'
'x+1/2,-y,-z'
'-x+1/2,y,z'
'-x,y,-z'
'x,-y,z'
loop_
_atom_site_label
_atom_site_fract_x
_atom_site_fract_y
_atom_site_fract_z
_atom_site_occupancy
Mo1 0.0000 0.0000 0.0000 1
Mo2 0.2500 0.0000 0.3338 1
Mo3 0.2500 0.5000 0.3350 1
Ir1 0.0000 0.2498 0.5000 1
Ir2 0.2500 0.2498 0.8391 1
W1 0.0000 0.5000 0.0000 1
```

## Properties
**DOS(E_F)**: 7.4 states/eV per cell
**Formation energy from the elements**: -0.31 eV/atom
**Crystal system**: orthorhombic
**Total magnetic moment**: 0.000 μB/atom

---

(6)
TbEr2Cu2: relaxed, PBE.

The structure in CIF format:
```
data_TbEr2Cu2
_cell_length_a 4.9867
_cell_length_b 4.5704
_cell_length_c 10.6323
_cell_angle_alpha 90.00
_cell_angle_beta 96.88
_cell_angle_gamma 90.00
_symmetry_space_group_name_H-M 'P 1 21/m 1'
_symmetry_Int_Tables_number 11
loop_
_symmetry_equiv_pos_as_xyz
'x,y,z'
'-x,-y,-z'
'-x,y+1/2,-z'
'x,-y+1/2,z'
loop_
_atom_site_label
_atom_site_fract_x
_atom_site_fract_y
_atom_site_fract_z
_atom_site_occupancy
Tb1 0.1891 0.2500 0.2394 1
Er1 0.2491 0.7500 0.4959 1
Er2 0.3448 0.2500 0.8872 1
Cu1 0.1252 0.7500 0.0097 1
Cu2 0.2867 0.2500 0.6357 1
```

## Properties
**DOS(E_F)**: 9.9 states/eV per cell
**Formation energy from the elements**: -0.12 eV/atom
**Crystal system**: monoclinic
**Total magnetic moment**: 0.000 μB/atom
**Offset from the most stable computed form**: 0.065 eV per atom

---

- Which of these has the highest DOS(E_F)?
  CuBiPdO4

---

- Which of these has the highest DOS(E_F)?
  CuBiPdO4